Entry 1:
## CsTmGeTe3 (PBE)

Data for a geometry-optimized CsTmGeTe3 structure.

POSCAR file:
```
CsTmGeTe3
1.0
2.274 -8.409 0.000
2.274 8.409 0.000
0.000 0.000 12.179
Cs Tm Ge Te
2 2 2 6
Cartesian
2.274 4.267 9.134 Cs
2.274 -4.267 3.045 Cs
2.274 0.000 0.000 Tm
2.274 0.000 6.089 Tm
2.274 7.580 3.045 Ge
2.274 -7.580 9.134 Ge
2.274 6.346 0.418 Te
2.274 6.346 5.671 Te
2.274 0.870 3.045 Te
2.274 -0.870 9.134 Te
2.274 -6.346 6.507 Te
2.274 -6.346 11.761 Te
```

Calculated values
- SG = Cmcm
- offset from the most stable computed form (eV per formula unit) = 0.530

***

Entry 2:
## BeInNiW (PBE)

Data for a geometry-optimized BeInNiW structure.

POSCAR file:
```
BeInNiW
1.0
0.000 3.039 3.039
3.039 0.000 3.039
3.039 3.039 0.000
Be In Ni W
1 1 1 1
Cartesian
0.000 0.000 0.000 Be
1.520 1.520 1.520 In
3.039 3.039 3.039 Ni
4.559 4.559 4.559 W
```

Calculated values
- calculated total energy (eV per atom) = -5.8163
- SG = F-43m

***

Entry 3:
## TbCuB4 (PBE)

Data for a geometry-optimized TbCuB4 structure.

POSCAR file:
```
TbCuB4
1.0
3.206 0.000 0.000
-1.603 2.776 0.000
0.000 0.000 6.660
Tb Cu B
1 1 4
Cartesian
0.000 0.000 0.000 Tb
0.000 0.000 3.330 Cu
0.000 1.851 1.898 B
0.000 1.851 4.762 B
1.603 0.925 1.898 B
1.603 0.925 4.762 B
```

Calculated values
- SG = P6/mmm
- offset from the most stable computed form (eV per formula unit) = 0.000

***

Entry 4:
## RbZn (PBE)

Data for a geometry-optimized RbZn structure.

POSCAR file:
```
RbZn
1.0
5.935 0.000 0.000
0.000 4.990 0.000
-0.669 0.000 14.797
Rb Zn
6 6
Cartesian
0.000 0.000 0.000 Rb
-0.104 2.495 3.031 Rb
2.219 0.000 8.486 Rb
2.424 2.495 5.463 Rb
2.316 2.495 14.425 Rb
5.264 2.495 8.868 Rb
0.933 0.000 11.709 Zn
2.395 2.495 11.072 Zn
3.297 0.000 3.101 Zn
3.904 0.000 11.577 Zn
4.938 0.000 5.396 Zn
5.356 2.495 12.206 Zn
```

Calculated values
- calculated total energy (eV per atom) = -0.9082
- SG = Pm